1.
A plane-wave DFT calculation with PBEsol was carried out for a relaxed structure of MoPtRh.

Cell lengths 2.7167, 3.8589, 8.2354 Å; angles 90.00, 90.00, 90.00 degrees
Space group Imm2 (No. 44)
Unique sites:
Mo 0.0000 0.0000 0.0000 [2 per cell]
Pt 0.0000 0.0000 0.6688 [2 per cell]
Rh 0.0000 0.0000 0.3406 [2 per cell]

The calculation puts the spin magnetization at 0.000 μB/f.u.

***

2.
A plane-wave DFT calculation with PBEsol was carried out for a relaxed structure of Mo2PtRh.

Cell lengths 2.7091, 3.8779, 5.6061 Å; angles 90.00, 90.00, 90.00 degrees
Space group Pmm2 (No. 25)
Unique sites:
Mo 0.0000 0.0000 0.0000 [1 per cell]
Mo 0.5000 0.5000 0.2807 [1 per cell]
Pt 0.0000 0.0000 0.5191 [1 per cell]
Rh 0.5000 0.5000 0.7866 [1 per cell]

The calculation puts the spin magnetization at 0.000 μB/f.u.

***

3.
A plane-wave DFT calculation with PBEsol was carried out for a relaxed structure of MoPt2Rh.

Cell lengths 2.7143, 2.7143, 7.8866 Å; angles 90.00, 90.00, 90.00 degrees
Space group P4/mmm (No. 123)
Unique sites:
Mo 0.0000 0.0000 0.0000 [1 per cell]
Pt 0.5000 0.5000 0.2472 [2 per cell]
Rh 0.0000 0.0000 0.5000 [1 per cell]

The calculation puts the spin magnetization at 0.003 μB/f.u.

***

| no. | E (eV/atom) | energy relative to the lowest polymorph listed for this composition (meV per atom) | formation enthalpy at 0 K (eV per atom) |
| --- | --- | --- | --- |
| 1 | -9.283 | 0 | -0.326 |
| 2 | -9.810 | 158 | -0.151 |
| 3 | -8.664 | 77 | -0.205 |